1.
First-principles (PBE) data for NdDy3Y6 after structural relaxation, as listed in Alexandria via LeMat-Bulk.

Lattice parameters (Å, degrees): 10.977 10.977 6.273 90.00 90.00 119.68
Element x y z (fractional)
Nd1 0.206 0.794 0.500
Nd2 0.794 0.206 0.000
Dy1 0.064 0.283 0.297
Dy2 0.283 0.064 0.797
Dy3 0.389 0.611 0.417
Dy4 0.611 0.389 0.917
Dy5 0.717 0.936 0.297
Dy6 0.936 0.717 0.797
Y1 0.042 0.460 0.706
Y2 0.047 0.953 0.247
Y3 0.283 0.717 0.993
Y4 0.290 0.381 0.879
Y5 0.381 0.290 0.379
Y6 0.460 0.042 0.206
Y7 0.540 0.958 0.706
Y8 0.619 0.710 0.879
Y9 0.710 0.619 0.379
Y10 0.717 0.283 0.493
Y11 0.953 0.047 0.747
Y12 0.958 0.540 0.206

## Properties
The value obtained for the energy relative to the lowest polymorph listed for this composition is 0.68 kcal/mol of atoms. The formation energy is 0.144 eV per atom. For the total energy, the calculation gives -111.8 eV per cell. For the magnetic moment, the calculation gives 0.0 μB/f.u. As for the space group: Cmc2_1.


2.
First-principles (PBE) data for LaMg6Zn6 after structural relaxation, as listed in Alexandria via LeMat-Bulk.

Lattice parameters (Å, degrees): 7.289 7.289 7.289 135.43 98.84 97.70
Element x y z (fractional)
La1 0.000 0.000 0.000
Mg1 0.202 0.500 0.702
Mg2 0.347 0.347 0.000
Mg3 0.349 0.000 0.349
Mg4 0.651 0.000 0.651
Mg5 0.653 0.653 0.000
Mg6 0.798 0.500 0.298
Zn1 0.000 0.000 0.500
Zn2 0.000 0.500 0.000
Zn3 0.224 0.724 0.500
Zn4 0.500 0.000 0.000
Zn5 0.500 0.500 0.500
Zn6 0.776 0.276 0.500

## Properties
The formation energy is -0.187 eV per atom. For the total energy, the calculation gives -24.6 eV per cell. For the magnetic moment, the calculation gives 0.0 μB/f.u. As for the space group: Immm.


3.
First-principles (PBE) data for KAl2ZnTc after structural relaxation, as listed in Alexandria via LeMat-Bulk.

Lattice parameters (Å, degrees): 4.842 4.842 5.049 90.00 90.00 90.00
Element x y z (fractional)
K1 0.000 0.000 0.000
Al1 0.000 0.500 0.500
Al2 0.500 0.000 0.500
Zn1 0.500 0.500 0.000
Tc1 0.500 0.500 0.500

## Properties
The formation energy is 0.109 eV per atom. For the total energy, the calculation gives -19.7 eV per cell. For the magnetic moment, the calculation gives 0.0 μB/f.u. As for the space group: P4/mmm.


4.
First-principles (PBE) data for Li9Mg2Cd after structural relaxation, as listed in Alexandria via LeMat-Bulk.

Lattice parameters (Å, degrees): 9.682 9.682 2.943 90.00 90.00 120.00
Element x y z (fractional)
Li1 0.000 0.500 0.000
Li2 0.166 0.332 0.500
Li3 0.166 0.834 0.500
Li4 0.332 0.166 0.500
Li5 0.500 0.000 0.000
Li6 0.500 0.500 0.000
Li7 0.668 0.834 0.500
Li8 0.834 0.166 0.500
Li9 0.834 0.668 0.500
Mg1 0.333 0.667 0.000
Mg2 0.667 0.333 0.000
Cd1 0.000 0.000 0.000

## Properties
The formation energy is -0.032 eV per atom. For the total energy, the calculation gives -21.7 eV per cell. For the magnetic moment, the calculation gives 0.0 μB/f.u. As for the space group: P6/mmm.


5.
First-principles (PBE) data for CaPm3Y7 after structural relaxation, as listed in Alexandria via LeMat-Bulk.

Lattice parameters (Å, degrees): 7.765 7.765 6.515 93.59 93.59 81.38
Element x y z (fractional)
Ca1 0.000 0.000 0.000
Pm1 0.327 0.673 0.500
Pm2 0.500 0.500 0.000
Pm3 0.673 0.327 0.500
Y1 0.000 0.000 0.500
Y2 0.074 0.414 0.758
Y3 0.266 0.266 0.293
Y4 0.414 0.074 0.758
Y5 0.586 0.926 0.242
Y6 0.734 0.734 0.707
Y7 0.926 0.586 0.242

## Properties
The formation energy is 0.240 eV per atom. For the total energy, the calculation gives -58.9 eV per cell. For the magnetic moment, the calculation gives 0.0 μB/f.u. As for the space group: C2/m.


6.
First-principles (PBE) data for ScTa2GaSb after structural relaxation, as listed in Alexandria via LeMat-Bulk.

Lattice parameters (Å, degrees): 4.874 4.874 4.969 90.00 90.00 90.00
Element x y z (fractional)
Sc1 0.000 0.000 0.000
Ta1 0.000 0.500 0.000
Ta2 0.500 0.000 0.000
Ga1 0.000 0.000 0.500
Sb1 0.500 0.500 0.500

## Properties
For the total energy, the calculation gives -29.9 eV per cell. For the magnetic moment, the calculation gives 0.0 μB/f.u. As for the space group: P4/mmm. For the uncorrected formation energy, the calculation gives 7.27 eV per formula unit.


7.
First-principles (PBE) data for Li3CuSi after structural relaxation, as listed in Alexandria via LeMat-Bulk.

Lattice parameters (Å, degrees): 4.692 4.692 4.692 90.00 90.00 90.00
Element x y z (fractional)
Li1 0.000 0.000 0.500
Li2 0.000 0.500 0.000
Li3 0.500 0.000 0.000
Cu1 0.500 0.500 0.500
Si1 0.000 0.000 0.000

## Properties
The value obtained for the energy relative to the lowest polymorph listed for this composition is 12.34 kcal/mol of atoms. For the total energy, the calculation gives -13.0 eV per cell. For the magnetic moment, the calculation gives 0.0 μB/f.u. As for the space group: Pm-3m. For the uncorrected formation energy, the calculation gives 2.29 eV per formula unit.


8.
First-principles (PBE) data for La2Pm15Sc2 after structural relaxation, as listed in Alexandria via LeMat-Bulk.

Lattice parameters (Å, degrees): 8.851 8.851 8.851 79.98 79.98 79.98
Element x y z (fractional)
La1 0.180 0.180 0.180
La2 0.820 0.820 0.820
Pm1 0.000 0.500 0.500
Pm2 0.132 0.132 0.650
Pm3 0.132 0.650 0.132
Pm4 0.210 0.500 0.790
Pm5 0.210 0.790 0.500
Pm6 0.350 0.868 0.868
Pm7 0.500 0.000 0.500
Pm8 0.500 0.210 0.790
Pm9 0.500 0.500 0.000
Pm10 0.500 0.790 0.210
Pm11 0.650 0.132 0.132
Pm12 0.790 0.210 0.500
Pm13 0.790 0.500 0.210
Pm14 0.868 0.350 0.868
Pm15 0.868 0.868 0.350
Sc1 0.410 0.410 0.410
Sc2 0.590 0.590 0.590

## Properties
The formation energy is 0.247 eV per atom. For the total energy, the calculation gives -89.1 eV per cell. For the magnetic moment, the calculation gives 0.5 μB/f.u. As for the space group: R-3m.


9.
First-principles (PBE) data for TlAs2Ru after structural relaxation, as listed in Alexandria via LeMat-Bulk.

Lattice parameters (Å, degrees): 3.969 3.969 4.861 90.00 90.00 90.00
Element x y z (fractional)
Tl1 0.000 0.000 0.000
As1 0.000 0.500 0.500
As2 0.500 0.000 0.500
Ru1 0.500 0.500 0.000

## Properties
The value obtained for the energy relative to the lowest polymorph listed for this composition is 13.72 kcal/mol of atoms. The formation energy is 0.560 eV per atom. For the total energy, the calculation gives -18.7 eV per cell. For the magnetic moment, the calculation gives 0.0 μB/f.u. As for the space group: P4/mmm.


10.
First-principles (PBE) data for Y2ZrAu6 after structural relaxation, as listed in Alexandria via LeMat-Bulk.

Lattice parameters (Å, degrees): 8.479 8.479 5.181 98.82 98.82 144.31
Element x y z (fractional)
Y1 0.166 0.834 0.000
Y2 0.834 0.166 0.000
Zr1 0.500 0.500 0.500
Au1 0.162 0.162 0.831
Au2 0.177 0.498 0.665
Au3 0.498 0.177 0.665
Au4 0.502 0.823 0.335
Au5 0.823 0.502 0.335
Au6 0.838 0.838 0.169

## Properties
The formation energy is -0.682 eV per atom. For the total energy, the calculation gives -47.3 eV per cell. For the magnetic moment, the calculation gives 0.0 μB/f.u. As for the space group: C2/m.